# 1
This record from the Alexandria database describes crystalline TaMo2As at its relaxed geometry. The functional is GGA-PBE.

Space group: No. 10
M_tot: 0.00 μB/f.u.

Cell: 4.5273 2.8586 5.3072 Å, 73.41 90.00 90.00°
Closest atoms and distances in Å follow each position.
Element x y z (fractional)
1 Mo 0.0000 0.4854 0.5039  4 Mo 2.57-2.86, 2 Ta 2.81, 2 As 2.82
2 Mo 0.0000 0.0146 0.9961  4 Mo 2.57-2.86, 2 Ta 2.81, 2 As 2.82
3 Ta 0.5000 0.2500 0.2500  2 As 2.63, 4 Mo 2.81, 2 Ta 2.86
4 As 0.5000 0.7500 0.7500  2 Ta 2.63, 4 Mo 2.82, 2 As 2.86



# 2
This record from the Alexandria database describes crystalline SrCd2GaPd at its relaxed geometry. The functional is GGA-PBE.

Energy above the lowest structure with this stoichiometry: 0 meV/atom
Space group: No. 44
M_tot: 0.00 μB/f.u.

Cell: 4.4052 4.4395 6.9536 Å, 108.62 108.47 90.00°
Closest atoms and distances in Å follow each position.
Element x y z (fractional)
1 Ga 0.2128 0.7128 0.4256  2 Pd 2.62
2 Sr 0.4301 0.4301 0.8601  4 Pd 3.38, 6 Cd 3.45-3.65, 2 Ga 3.49
3 Cd 0.6955 0.1955 0.3910  2 Pd 2.75, 2 Cd 2.87
4 Cd 0.0472 0.0472 0.0945  1 Pd 2.74, 2 Cd 2.87, 2 Ga 3.03
5 Pd 0.8266 0.8266 0.6531  2 Ga 2.62, 3 Cd 2.74-2.75



# 3
This record from the Alexandria database describes crystalline TlGaHg2Pt at its relaxed geometry. The functional is GGA-PBE.

Space group: No. 123
M_tot: 0.00 μB/f.u.

Cell: 5.3662 5.3662 4.7882 Å, 90.00 90.00 90.00°
Closest atoms and distances in Å follow each position.
Element x y z (fractional)
1 Hg 0.5000 0.0000 0.0000  2 Pt 2.68
2 Hg 0.0000 0.5000 0.0000  2 Pt 2.68
3 Tl 0.5000 0.5000 0.5000  8 Hg 3.60, 4 Ga 3.79
4 Ga 0.0000 0.0000 0.5000  2 Pt 2.39
5 Pt 0.0000 0.0000 0.0000  2 Ga 2.39



# 4
This record from the Alexandria database describes crystalline Th2Al4RhAu3 at its relaxed geometry. The functional is GGA-PBE.

Space group: No. 115
M_tot: 0.00 μB/f.u.

Cell: 4.3743 4.3743 10.4260 Å, 90.00 90.00 90.00°
Closest atoms and distances in Å follow each position.
Element x y z (fractional)
1 Al 0.5000 0.0000 0.6257  3 Au 2.52-2.55, 2 Rh 2.55
2 Al 0.5000 0.5000 0.0000  4 Au 2.59
3 Al 0.0000 0.5000 0.3743  3 Au 2.52-2.55, 2 Rh 2.55
4 Al 0.0000 0.0000 0.0000  4 Au 2.59
5 Au 0.5000 0.0000 0.8672  5 Al 2.52-2.59
6 Au 0.0000 0.0000 0.5000  4 Al 2.55
7 Au 0.0000 0.5000 0.1328  5 Al 2.52-2.59
8 Th 0.5000 0.0000 0.2600  8 Al 3.31-3.48, 2 Rh 3.32, 6 Au 3.32-3.37
9 Th 0.0000 0.5000 0.7400  8 Al 3.31-3.48, 2 Rh 3.32, 6 Au 3.32-3.37
10 Rh 0.5000 0.5000 0.5000  4 Al 2.55



# 5
This record from the Alexandria database describes crystalline KSc2Tl at its relaxed geometry. The functional is GGA-PBE.

Energy above the lowest structure with this stoichiometry: 119 meV/atom
Space group: No. 12
M_tot: 0.66 μB/f.u.

Cell: 6.7754 6.7754 5.7982 Å, 64.90 64.90 29.98°
Closest atoms and distances in Å follow each position.
Element x y z (fractional)
1 Sc 0.0381 0.0381 0.9619  2 Tl 3.05
2 Sc 0.4619 0.4619 0.5381  2 Tl 3.05
3 K 0.2500 0.2500 0.2500  4 Tl 3.39, 2 K 3.51
4 Tl 0.7500 0.7500 0.7500  4 Sc 3.05, 4 K 3.39



# 6
This record from the Alexandria database describes crystalline TaV3Rh6 at its relaxed geometry. The functional is GGA-PBE.

Space group: No. 11
M_tot: 0.00 μB/f.u.

Cell: 3.8731 8.4427 8.7322 Å, 91.85 90.00 90.00°
Closest atoms and distances in Å follow each position.
Element x y z (fractional)
1 V 0.7500 0.6518 0.1990  8 Rh 2.60-2.76, 4 V 2.74-2.80
2 V 0.2500 0.5569 0.3988  8 Rh 2.63-2.74, 4 V 2.74-2.81
3 V 0.2500 0.3482 0.8010  8 Rh 2.60-2.76, 4 V 2.74-2.80
4 V 0.7500 0.4431 0.6012  8 Rh 2.63-2.74, 4 V 2.74-2.81
5 V 0.7500 0.2515 0.0091  10 Rh 2.65-2.79, 2 V 2.80
6 V 0.2500 0.7485 0.9909  10 Rh 2.65-2.79, 2 V 2.80
7 Rh 0.2500 0.1558 0.1981  2 Ta 2.65, 8 Rh 2.66-2.80, 2 V 2.69
8 Rh 0.7500 0.9369 0.0962  4 V 2.60-2.79, 7 Rh 2.66-2.80, 1 Ta 2.67
9 Rh 0.7500 0.3677 0.3043  5 V 2.60-2.73, 1 Ta 2.70, 6 Rh 2.75-2.78
10 Rh 0.2500 0.6323 0.6957  5 V 2.60-2.73, 1 Ta 2.70, 6 Rh 2.75-2.78
11 Rh 0.2500 0.0631 0.9038  4 V 2.60-2.79, 7 Rh 2.66-2.80, 1 Ta 2.67
12 Rh 0.2500 0.8466 0.2971  4 V 2.63-2.77, 3 Ta 2.73-2.89, 5 Rh 2.74-2.78
13 Rh 0.2500 0.2536 0.5012  4 V 2.64-2.74, 3 Ta 2.72-2.87, 5 Rh 2.75-2.78
14 Rh 0.7500 0.5405 0.8985  7 V 2.65-2.76, 5 Rh 2.72-2.75
15 Rh 0.7500 0.8442 0.8019  2 Ta 2.65, 8 Rh 2.66-2.80, 2 V 2.69
16 Rh 0.7500 0.7464 0.4988  4 V 2.64-2.74, 3 Ta 2.72-2.87, 5 Rh 2.75-2.78
17 Rh 0.7500 0.1534 0.7029  4 V 2.63-2.77, 3 Ta 2.73-2.89, 5 Rh 2.74-2.78
18 Rh 0.2500 0.4595 0.1015  7 V 2.65-2.76, 5 Rh 2.72-2.75
19 Ta 0.7500 0.0602 0.3814  10 Rh 2.65-2.89
20 Ta 0.2500 0.9398 0.6186  10 Rh 2.65-2.89



Calculated formation energy readings, ordered: 0.09; -0.40; -0.12; -0.74; 0.22; -0.42 eV per atom